{
  "formula": "Li6Fe5CuO12",
  "functional": "meta-GGA SCAN",
  "state": "single point on PBEsol structure",
  "lattice_angstrom": [[4.834, 0.000, -0.375], [2.417, 4.209, -0.188], [-0.854, 0.000, 9.652]],
  "species": ["Li", "Li", "Li", "Li", "Li", "Li", "Fe", "Fe", "Fe", "Fe", "Fe", "Cu", "O", "O", "O", "O", "O", "O", "O", "O", "O", "O", "O", "O"],
  "fractional_positions": [[0.752, 0.327, 0.740], [0.079, 0.673, 0.740], [0.594, 0.000, 0.260], [0.406, 0.000, 0.740], [0.921, 0.327, 0.260], [0.248, 0.673, 0.260], [0.500, 0.000, 0.000], [0.333, 0.334, 0.500], [0.667, 0.666, 0.500], [0.166, 0.668, 0.000], [0.834, 0.332, 0.000], [0.000, 0.000, 0.500], [0.870, 0.000, 0.111], [0.463, 0.334, 0.892], [0.797, 0.666, 0.892], [0.391, 0.646, 0.613], [0.037, 0.354, 0.613], [0.684, 0.000, 0.613], [0.316, 0.000, 0.387], [0.963, 0.646, 0.387], [0.609, 0.354, 0.387], [0.203, 0.334, 0.108], [0.537, 0.666, 0.108], [0.130, 0.000, 0.889]],
  "formation_energy_uncorrected_ev_per_atom": -1.77,
  "total_magnetization_mub_per_fu": 7.000,
  "energy_ev_per_atom": -9.8934,
  "dos_at_fermi_per_ev_cell": 8.23
}